{"formula": "CaMgGa2Ag2", "functional": "PBE", "state": "optimized geometry", "cell": [[4.553, 0.000, 0.000], [-2.277, 3.943, 0.000], [0.000, 0.000, 6.951]], "species": ["Ag", "Ag", "Ga", "Mg", "Ga", "Ca"], "frac_coords": [[0.667, 0.333, 0.699], [0.333, 0.667, 0.301], [0.333, 0.667, 0.727], [0.000, 0.000, 0.500], [0.667, 0.333, 0.273], [0.000, 0.000, 0.000]], "total_magnetization_mub_per_fu": 0.000, "delta_e_f_ev_per_atom": -0.31, "n_ef_per_ev_cell": 2.5}

---

{"formula": "CaMg2GaAg4", "functional": "PBE", "state": "optimized geometry", "cell": [[4.686, 0.000, 0.000], [2.343, 4.058, 0.000], [2.343, 1.353, 8.584]], "species": ["Ga", "Ag", "Ag", "Ag", "Ca", "Ag", "Mg", "Mg"], "frac_coords": [[0.500, 0.500, 0.500], [0.872, 0.872, 0.385], [0.605, 0.605, 0.185], [0.395, 0.395, 0.815], [0.000, 0.000, 0.000], [0.128, 0.128, 0.615], [0.244, 0.244, 0.267], [0.756, 0.756, 0.733]], "total_magnetization_mub_per_fu": 0.000, "delta_e_f_ev_per_atom": -0.18, "n_ef_per_ev_cell": 2.7}

---

{"formula": "Ca2GaAgN", "functional": "PBE", "state": "optimized geometry", "cell": [[-1.940, 0.276, -3.024], [6.842, -1.566, -4.533], [-4.199, -5.914, 2.155]], "species": ["Ag", "Ag", "Ca", "Ca", "N", "Ca", "Ga", "Ca", "Ga", "N"], "frac_coords": [[0.250, 0.604, 0.178], [0.750, 0.396, 0.822], [0.250, 0.170, 0.433], [0.250, 0.161, 0.980], [0.750, 0.164, 0.208], [0.750, 0.830, 0.567], [0.250, 0.571, 0.662], [0.750, 0.839, 0.020], [0.750, 0.429, 0.338], [0.250, 0.836, 0.792]], "total_magnetization_mub_per_fu": 0.000, "formation_energy_uncorrected_mev_per_atom": -554, "n_ef_per_ev_cell": 3.4}

---

{"formula": "NaCaGaAg", "functional": "PBE", "state": "optimized geometry", "cell": [[5.009, 0.000, 0.000], [2.505, 4.338, 0.000], [2.505, 1.446, 4.090]], "species": ["Ga", "Ag", "Ca", "Na"], "frac_coords": [[0.000, 0.000, 0.000], [0.750, 0.750, 0.750], [0.500, 0.500, 0.500], [0.250, 0.250, 0.250]], "total_magnetization_mub_per_fu": 0.000, "delta_e_f_ev_per_atom": -0.14, "n_ef_per_ev_cell": 2.2}

---

{"formula": "CaGaAg2Os", "functional": "PBE", "state": "optimized geometry", "cell": [[4.742, 0.000, 0.000], [0.000, 5.455, 0.000], [0.000, 0.000, 4.742]], "species": ["Os", "Ca", "Ag", "Ag", "Ga"], "frac_coords": [[0.500, 0.500, 0.500], [0.000, 0.500, 0.000], [0.000, 0.000, 0.500], [0.500, 0.000, 0.000], [0.000, 0.000, 0.000]], "total_magnetization_mub_per_fu": 2.222, "delta_e_f_ev_per_atom": 1.19, "n_ef_per_ev_cell": 4.9}

---

{"formula": "Ca2GaAgP", "functional": "PBE", "state": "optimized geometry", "cell": [[-4.190, 2.876, -2.535], [-3.075, -2.780, 1.928], [-0.328, 3.472, 4.482]], "species": ["P", "Ga", "Ca", "Ag", "Ca"], "frac_coords": [[0.000, 0.500, 0.000], [0.000, 0.000, 0.000], [0.000, 0.000, 0.500], [0.500, 0.500, 0.500], [0.500, 0.000, 0.000]], "total_magnetization_mub_per_fu": 0.000, "delta_e_f_ev_per_atom": 0.04, "n_ef_per_ev_cell": 1.7}